# 1
Here is a geometry-optimized BaLi2ZnSi structure from the Alexandria database. Energies are from PBE-GGA.

Summary:
Space-group type   P4/mmm (123)
Uncorrected formation energy   -0.040 eV/atom
Distance to the lowest polymorph of the same formula   0.902 kcal/mol of atoms
Magnetic moment   0.467 μB/f.u.

Cell and atoms, written as POSCAR:
```
BaLi2ZnSi
1.0
-2.693 0.849 -4.176
-3.827 -2.655 1.928
-1.777 3.980 1.955
Zn Si Ba Li
1 1 1 2
Direct
0.000 0.000 0.000
0.000 0.000 0.500
0.500 0.500 0.500
0.000 0.500 0.000
0.500 0.000 0.000
```



# 2
Here is a geometry-optimized Ba2LiZnSi2 structure from the Alexandria database. Energies are from PBE-GGA.

Summary:
Space-group type   Ibam (72)
Uncorrected formation energy   -0.315 eV/atom
Magnetic moment   0.000 μB/f.u.

Cell and atoms, written as POSCAR:
```
Ba2LiZnSi2
1.0
-4.329 3.262 -3.689
0.314 -4.683 -4.510
-3.631 -2.936 7.492
Ba Li Zn Si
4 2 2 4
Direct
0.402 0.158 0.316
0.598 0.842 0.684
0.086 0.342 0.684
0.914 0.658 0.316
0.000 0.750 0.000
0.000 0.250 0.000
0.500 0.750 0.000
0.500 0.250 0.000
0.824 0.092 0.185
0.360 0.592 0.185
0.640 0.408 0.815
0.176 0.908 0.815
```



# 3
Here is a geometry-optimized BaLi2ZnSi structure from the Alexandria database. Energies are from PBE-GGA.

Summary:
Space-group type   P4/mmm (123)
Uncorrected formation energy   -0.079 eV/atom
Distance to the lowest polymorph of the same formula   0.000 kcal/mol of atoms
Magnetic moment   0.005 μB/f.u.

Cell and atoms, written as POSCAR:
```
BaLi2ZnSi
1.0
4.982 0.000 0.000
0.000 4.982 0.000
0.000 0.000 4.908
Zn Si Ba Li
1 1 1 2
Direct
0.000 0.000 0.500
0.000 0.000 0.000
0.500 0.500 0.500
0.000 0.500 0.000
0.500 0.000 0.000
```



# 4
Here is a geometry-optimized Ba2LiZn4Si3 structure from the Alexandria database. Energies are from PBE-GGA.

Summary:
Space-group type   P-4m2 (115)
Uncorrected formation energy   -0.267 eV/atom
Magnetic moment   0.408 μB/f.u.

Cell and atoms, written as POSCAR:
```
Ba2LiZn4Si3
1.0
4.476 0.000 0.000
0.000 4.476 0.000
0.000 0.000 10.605
Ba Li Zn Si
2 1 4 3
Direct
0.500 0.000 0.243
0.000 0.500 0.757
0.500 0.500 0.500
0.500 0.500 0.000
0.000 0.000 0.000
0.500 0.000 0.627
0.000 0.500 0.373
0.000 0.000 0.500
0.500 0.000 0.871
0.000 0.500 0.129
```



# 5
Here is a geometry-optimized BaLiSm structure from the Alexandria database. Energies are from PBE-GGA.

Summary:
Space-group type   I4mm (107)
Calculated formation energy   198 meV/atom
Magnetic moment   0.437 μB/f.u.

Cell and atoms, written as POSCAR:
```
BaLiSm
1.0
-1.388 0.713 3.686
-3.319 -2.069 -0.849
5.397 -5.137 0.852
Ba Sm Li
1 1 1
Direct
0.015 0.015 0.030
0.303 0.303 0.606
0.682 0.682 0.365
```



# 6
Here is a geometry-optimized Ba2LiSm structure from the Alexandria database. Energies are from PBE-GGA.

Summary:
Space-group type   R-3m (166)
Distance to the lowest polymorph of the same formula   3.867 kcal/mol of atoms
Calculated formation energy   354 meV/atom
Magnetic moment   0.263 μB/f.u.

Cell and atoms, written as POSCAR:
```
Ba2LiSm
1.0
3.834 0.000 0.000
1.917 3.320 0.000
1.917 1.107 13.301
Ba Sm Li
2 1 1
Direct
0.091 0.091 0.728
0.909 0.909 0.272
0.000 0.000 0.000
0.500 0.500 0.500
```